VASP calculation (PBE) on Pd5Pt2Au after structural relaxation.

Summary:
Energy above the lowest structure with this stoichiometry (meV/atom): 0

abc: 4.737 7.369 8.001
angles: 106.92 107.22 90.00
Fractional coordinates of all 16 atoms:
1 Pd 0.751 0.250 0.000
2 Pd 0.313 0.437 0.123
3 Pd 0.687 0.563 0.877
4 Pd 0.810 0.937 0.123
5 Pd 0.064 0.688 0.627
6 Pd 0.437 0.812 0.373
7 Pd 0.936 0.312 0.373
8 Pd 0.563 0.188 0.627
9 Pd 0.190 0.063 0.877
10 Pd 0.249 0.750 0.000
11 Pt 0.874 0.622 0.247
12 Pt 0.627 0.878 0.753
13 Pt 0.373 0.122 0.247
14 Pt 0.126 0.378 0.753
15 Au 0.000 0.000 0.500
16 Au 0.500 0.500 0.500

VASP calculation (PBE) on LuVCr4 after structural relaxation.

abc: 4.945 4.945 4.945
angles: 60.00 60.00 60.00
Fractional coordinates of all 6 atoms:
1 V 0.250 0.250 0.250
2 Cr 0.126 0.625 0.625
3 Cr 0.625 0.625 0.625
4 Cr 0.625 0.625 0.126
5 Cr 0.625 0.126 0.625
6 Lu 0.000 0.000 0.000

Number 1: energy relative to the elements 0.032 eV/atom, DFT total energy -82.136 eV for the cell shown, Fermi-level density of states 1.64 states/eV per atom. Number 2: energy relative to the elements 0.160 eV/atom, DFT total energy -51.174 eV for the cell shown, Fermi-level density of states 0.79 states/eV per atom.